(1)
VASP calculation (PBE-GGA) on a relaxed structure of CsTmCuBr5.

Cell and atoms, written as POSCAR:
```
CsTmCuBr5
1.0
4.769 -6.288 0.000
4.769 6.288 0.000
-4.113 0.000 9.703
Cs Tm Cu Br
2 2 2 10
direct
0.151 0.849 0.750
0.849 0.151 0.250
0.500 0.500 0.000
0.500 0.500 0.500
0.192 0.808 0.250
0.808 0.192 0.750
0.127 0.280 0.923
0.200 0.605 0.396
0.280 0.127 0.423
0.395 0.800 0.104
0.433 0.567 0.750
0.567 0.433 0.250
0.605 0.200 0.896
0.720 0.873 0.577
0.800 0.395 0.604
0.873 0.720 0.077
```

Output
Symmetry: C2/c
E_form (uncorrected): -1.436 eV/atom
Crystal system: monoclinic

(2)
VASP calculation (PBE-GGA) on a relaxed structure of TlTe2Cl.

Cell and atoms, written as POSCAR:
```
TlTe2Cl
1.0
3.818 0.000 0.000
0.000 4.714 0.000
-0.515 0.000 8.302
Tl Te Cl
1 2 1
direct
0.000 0.000 0.000
0.331 0.000 0.434
0.339 0.500 0.612
0.529 0.500 0.101
```

Output
Symmetry: Pm
E_form (uncorrected): -0.336 eV/atom
Crystal system: monoclinic
Offset from the most stable computed form: 6.3 kJ/mol of atoms

(3)
VASP calculation (PBE-GGA) on a relaxed structure of BaCa2As.

Cell and atoms, written as POSCAR:
```
BaCa2As
1.0
-1.976 2.914 6.503
1.976 -2.914 6.503
1.976 2.914 -6.503
Ba Ca As
1 2 1
direct
0.000 0.000 0.000
0.327 0.827 0.500
0.673 0.173 0.500
0.500 0.500 0.000
```

Output
Symmetry: Immm
Calculated formation energy: -0.604 eV/atom
Crystal system: orthorhombic

(4)
VASP calculation (PBE-GGA) on a relaxed structure of LaFeAs2.

Cell and atoms, written as POSCAR:
```
LaFeAs2
1.0
2.006 1.158 5.642
-2.006 1.158 5.642
0.000 -2.317 5.642
La Fe As
1 1 2
direct
0.000 0.000 0.000
0.500 0.500 0.500
0.221 0.221 0.221
0.779 0.779 0.779
```

Output
Symmetry: R-3m
Calculated formation energy: -0.677 eV/atom
Crystal system: trigonal
Offset from the most stable computed form: 0.0 kJ/mol of atoms

(5)
VASP calculation (PBE-GGA) on a relaxed structure of TlInCo2.

Cell and atoms, written as POSCAR:
```
TlInCo2
1.0
0.000 3.162 3.162
3.162 0.000 3.162
3.162 3.162 0.000
Tl In Co
1 1 2
direct
0.000 0.000 0.000
0.500 0.500 0.500
0.250 0.250 0.250
0.750 0.750 0.750
```

Output
Symmetry: Fm-3m
Calculated formation energy: 0.391 eV/atom
Crystal system: cubic
Offset from the most stable computed form: 6.5 kJ/mol of atoms

(6)
VASP calculation (PBE-GGA) on a relaxed structure of TbDyIn2Te4.

Cell and atoms, written as POSCAR:
```
TbDyIn2Te4
1.0
7.649 0.000 0.000
0.000 4.419 0.000
-2.551 0.000 8.111
Tb Dy In Te
1 1 2 4
direct
0.000 0.000 0.000
0.500 0.500 0.000
0.000 0.500 0.500
0.500 0.000 0.500
0.241 0.500 0.220
0.261 0.000 0.781
0.739 0.000 0.219
0.759 0.500 0.780
```

Output
Symmetry: P2/m
E_form (uncorrected): -0.973 eV/atom
Crystal system: monoclinic

(7)
VASP calculation (PBE-GGA) on a relaxed structure of MnReSb.

Cell and atoms, written as POSCAR:
```
MnReSb
1.0
-1.471 1.471 5.520
1.471 -1.471 5.520
1.471 1.471 -5.520
Mn Re Sb
1 1 1
direct
0.000 0.000 0.000
0.631 0.631 0.000
0.325 0.325 0.000
```

Output
Symmetry: I4mm
E_form (uncorrected): 0.464 eV/atom
Crystal system: tetragonal
Offset from the most stable computed form: 20.9 kJ/mol of atoms

(8)
VASP calculation (PBE-GGA) on a relaxed structure of Np2Zn16Hg.

Cell and atoms, written as POSCAR:
```
Np2Zn16Hg
1.0
4.537 2.620 4.421
-4.537 2.620 4.421
0.000 -5.239 4.421
Np Zn Hg
2 16 1
direct
0.000 0.000 0.000
0.321 0.321 0.321
0.015 0.015 0.501
0.015 0.501 0.015
0.153 0.668 0.668
0.306 0.306 0.830
0.306 0.830 0.306
0.361 0.662 0.965
0.361 0.965 0.662
0.501 0.015 0.015
0.662 0.361 0.965
0.662 0.965 0.361
0.668 0.153 0.668
0.668 0.668 0.153
0.769 0.769 0.769
0.830 0.306 0.306
0.965 0.361 0.662
0.965 0.662 0.361
0.561 0.561 0.561
```

Output
Symmetry: R3m
Calculated formation energy: -0.040 eV/atom
Crystal system: trigonal

| no. | energy (eV per atom) | DOS at the Fermi energy (states/eV/f.u.) |
| --- | --- | --- |
| 1 | -3.66 | 0.0 |
| 2 | -2.96 | 0.7 |
| 3 | -3.25 | 2.9 |
| 4 | -6.35 | 3.5 |
| 5 | -4.44 | 2.8 |
| 6 | -4.38 | 0.3 |
| 7 | -8.12 | 3.3 |
| 8 | -2.49 | 19.3 |